[1]
The following is a DFT calculation (PBE-GGA) of a relaxed PrTiAl2 crystal.

Energy above the lowest structure with this stoichiometry (eV/atom): 0.000
E (eV/atom): -5.30
V (Å³ per atom): 21.09
Calculated formation energy (meV per atom): -262

Unit cell a=3.4949 b=3.4949 c=6.9068 alpha=90.00 beta=90.00 gamma=90.00
With the nearest neighbours (Å) after each atom.
Space group P4/mmm (No. 123)
Inequivalent atoms, fractional coordinates:
Pr (0.0000, 0.0000, 0.0000)  8 Al 3.25, 2 Ti 3.45, 4 Pr 3.49
Ti (0.0000, 0.0000, 0.5000)  8 Al 2.81
Al (0.5000, 0.5000, 0.3057)  1 Al 2.68, 4 Ti 2.81


[2]
The following is a DFT calculation (PBE-GGA) of a relaxed RbLi2CoOs crystal.

E (eV/atom): -3.81
V (Å³ per atom): 23.54
Calculated formation energy (meV per atom): 818

Unit cell a=5.1416 b=5.1416 c=4.4529 alpha=90.00 beta=90.00 gamma=90.00
With the nearest neighbours (Å) after each atom.
Space group P4/mmm (No. 123)
Inequivalent atoms, fractional coordinates:
Rb (0.0000, 0.0000, 0.0000)  8 Li 3.40, 4 Co 3.64
Li (0.0000, 0.5000, 0.5000)  2 Os 2.57
Co (0.5000, 0.5000, 0.0000)  2 Os 2.23
Os (0.5000, 0.5000, 0.5000)  2 Co 2.23


[3]
The following is a DFT calculation (PBE-GGA) of a relaxed Be3NiP crystal.

Energy above the lowest structure with this stoichiometry (eV/atom): 0.000
E (eV/atom): -3.86
V (Å³ per atom): 12.41
Calculated formation energy (meV per atom): 617

Unit cell a=3.9593 b=3.9593 c=3.9593 alpha=90.00 beta=90.00 gamma=90.00
With the nearest neighbours (Å) after each atom.
Space group Pm-3m (No. 221)
Inequivalent atoms, fractional coordinates:
Be (0.0000, 0.0000, 0.5000)  2 Ni 1.98
Ni (0.0000, 0.0000, 0.0000)  6 Be 1.98
P (0.5000, 0.5000, 0.5000)  12 Be 2.80


[4]
The following is a DFT calculation (PBE-GGA) of a relaxed CuNiAs2 crystal.

E (eV/atom): -4.73
V (Å³ per atom): 14.97
Calculated formation energy (meV per atom): 61

Unit cell a=3.9891 b=3.1353 c=5.0423 alpha=90.00 beta=108.32 gamma=90.00
With the nearest neighbours (Å) after each atom.
Space group P2/m (No. 10)
Inequivalent atoms, fractional coordinates:
Cu (0.0000, 0.0000, 0.0000)  6 As 2.52-2.54
Ni (0.5000, 0.5000, 0.5000)  6 As 2.52-2.54
As (0.0000, 0.0000, 0.5000)  2 Cu 2.52, 4 Ni 2.54
As (0.5000, 0.5000, 0.0000)  2 Ni 2.52, 4 Cu 2.54


[5]
The following is a DFT calculation (PBE-GGA) of a relaxed ScTi2NiN crystal.

E (eV/atom): -8.07
V (Å³ per atom): 14.30
Uncorrected formation energy (eV per atom): -0.821

Unit cell a=4.0708 b=4.0708 c=4.3160 alpha=90.00 beta=90.00 gamma=90.00
With the nearest neighbours (Å) after each atom.
Space group P4/mmm (No. 123)
Inequivalent atoms, fractional coordinates:
Sc (0.0000, 0.0000, 0.0000)  2 N 2.16
Ti (0.0000, 0.5000, 0.5000)  2 N 2.04
Ni (0.5000, 0.5000, 0.0000)  4 Sc 2.88, 8 Ti 2.97
N (0.0000, 0.0000, 0.5000)  4 Ti 2.04, 2 Sc 2.16


[6]
The following is a DFT calculation (PBE-GGA) of a relaxed Ho2LuTh crystal.

Energy above the lowest structure with this stoichiometry (eV/atom): 0.132
E (eV/atom): -5.11
V (Å³ per atom): 31.32
Calculated formation energy (meV per atom): 162

Unit cell a=7.9428 b=7.9428 c=7.9428 alpha=90.00 beta=90.00 gamma=90.00
With the nearest neighbours (Å) after each atom.
Space group Fm-3m (No. 225)
Inequivalent atoms, fractional coordinates:
Ho (0.2500, 0.2500, 0.2500)  4 Th 3.44, 4 Lu 3.44
Lu (0.0000, 0.0000, 0.0000)  8 Ho 3.44
Th (0.0000, 0.0000, 0.5000)  8 Ho 3.44


[7]
The following is a DFT calculation (PBE-GGA) of a relaxed ScTaHgH2 crystal.

E (eV/atom): -3.87
V (Å³ per atom): 17.63

Unit cell a=3.8152 b=3.8152 c=6.0570 alpha=90.00 beta=90.00 gamma=90.00
With the nearest neighbours (Å) after each atom.
Space group P4/mmm (No. 123)
Inequivalent atoms, fractional coordinates:
Sc (0.0000, 0.0000, 0.0000)  4 Ta 2.70
Ta (0.5000, 0.5000, 0.0000)  4 Sc 2.70
Hg (0.0000, 0.0000, 0.5000)  4 H 1.91
H (0.0000, 0.5000, 0.5000)  2 Hg 1.91


[8]
The following is a DFT calculation (PBE-GGA) of a relaxed La2YTm5Th crystal.

E (eV/atom): -4.84
V (Å³ per atom): 32.22
Calculated formation energy (meV per atom): 284

Unit cell a=8.6567 b=8.6567 c=15.4787 alpha=90.00 beta=90.00 gamma=90.00
With the nearest neighbours (Å) after each atom.
Space group I4/mcm (No. 140)
Inequivalent atoms, fractional coordinates:
La (0.1166, 0.3834, 0.0000)  1 La 2.85, 2 Tm 3.00
Y (0.0000, 0.5000, 0.2500)  4 Tm 3.14
Tm (0.0000, 0.0000, 0.0000)  4 La 3.47, 8 Tm 3.79, 2 Th 3.87
Tm (0.2170, 0.2830, 0.3581)  1 La 3.00, 1 Y 3.14
Th (0.0000, 0.0000, 0.2500)  10 Tm 3.51-3.87